1.
Cs2ZnCdBi | the Alexandria database | PBE | optimized geometry; symmetry = No. 123; DFT total energy = -1.589 eV/atom
1.0
-3.2462 -0.1180 6.3398
-4.8667 -4.5193 -2.5760
3.0817 -4.1738 1.5003
Cs Zn Cd Bi
2 1 1 1
Direct
0.5000 0.0000 0.0000
0.0000 0.5000 0.0000
0.0000 0.0000 0.0000
0.5000 0.5000 0.5000
0.0000 0.0000 0.5000

***

2.
CsZnCdBi2 | the Alexandria database | PBE | optimized geometry; symmetry = No. 119; DFT total energy = -2.301 eV/atom
1.0
-3.0543 -1.4150 -3.8785
4.1139 -1.4485 -2.7113
-0.9708 -4.5686 5.8314
Zn Cs Bi Cd
1 1 2 1
Direct
0.7500 0.2500 0.5000
0.0000 0.0000 0.0000
0.6311 0.6311 0.2621
0.3689 0.3689 0.7379
0.2500 0.7500 0.5000

***

3.
Cd2CuBi2 | the Alexandria database | PBE | optimized geometry; symmetry = No. 127; energy relative to the lowest polymorph listed for this composition = 0.000 eV per atom
1.0
-4.6760 -5.6744 -0.8993
4.7812 -3.2004 -4.6658
2.1347 -2.3626 3.8081
Cu Bi Cd
2 4 4
Direct
0.5000 0.5000 0.0000
0.0000 0.0000 0.0000
0.1637 0.3363 0.0000
0.8363 0.6637 0.0000
0.3363 0.8363 0.0000
0.6637 0.1637 0.0000
0.8482 0.3482 0.5000
0.3482 0.1518 0.5000
0.6518 0.8482 0.5000
0.1518 0.6518 0.5000

***

4.
CdCuBi | the Alexandria database | PBE | optimized geometry; symmetry = No. 107; DFT total energy = -2.786 eV/atom
1.0
3.2718 0.0000 0.0000
0.0000 3.2718 0.0000
-1.6359 -1.6359 6.2532
Bi Cd Cu
1 1 1
Direct
0.0212 0.0212 0.0424
0.3024 0.3024 0.6047
0.6765 0.6765 0.3529

***

| no. | theoretical density (g/cm³) |
| --- | --- |
| 1 | 3.95 |
| 2 | 7.03 |
| 3 | 8.61 |
| 4 | 9.55 |